Computed, not measured: an optimized crystal structure of KSmCd at the PBE-GGA level of DFT.

Geometry as CIF:
```
data_KSmCd
_cell_length_a 18.165
_cell_length_b 3.729
_cell_length_c 6.453
_cell_angle_alpha 90.00
_cell_angle_beta 90.00
_cell_angle_gamma 90.00
_symmetry_space_group_name_H-M 'A m m 2'
_symmetry_Int_Tables_number 38
loop_
_symmetry_equiv_pos_as_xyz
'x,y,z'
'-x,-y,z'
'-x,y,z'
'x,-y,z'
'x,y+1/2,z+1/2'
'-x,-y+1/2,z+1/2'
'-x,y+1/2,z+1/2'
'x,-y+1/2,z+1/2'
loop_
_atom_site_label
_atom_site_fract_x
_atom_site_fract_y
_atom_site_fract_z
K1 0.163 0.000 0.000
Sm1 0.364 0.000 0.657
Cd1 0.000 0.000 0.669
Cd2 0.500 0.000 0.990
```

Values from the calculation:
Its density of states at the Fermi level is 10.3 states/eV per cell. The value obtained for the formation energy is 0.4 eV per formula unit. The value obtained for the final energy is -0.1540 Ry/atom.

=====

Computed, not measured: an optimized crystal structure of KSmCd4 at the PBE-GGA level of DFT.

Geometry as CIF:
```
data_KSmCd4
_cell_length_a 8.646
_cell_length_b 8.646
_cell_length_c 8.646
_cell_angle_alpha 90.00
_cell_angle_beta 90.00
_cell_angle_gamma 90.00
_symmetry_space_group_name_H-M 'F -4 3 m'
_symmetry_Int_Tables_number 216
_symmetry_space_group_name_Hall 'F -4 2 3'
loop_
_atom_site_label
_atom_site_fract_x
_atom_site_fract_y
_atom_site_fract_z
K1 0.000 0.000 0.000
Sm1 0.250 0.250 0.750
Cd1 0.124 0.124 0.376
```

Values from the calculation:
Its density of states at the Fermi level is 22.9 states/eV per cell. The value obtained for the formation energy is -0.5 eV per formula unit. The value obtained for the final energy is -0.1224 Ry/atom.

=====

Computed, not measured: an optimized crystal structure of K2SmCd2Te4 at the PBE-GGA level of DFT.

Geometry as CIF:
```
data_K2SmCd2Te4
_cell_length_a 17.550
_cell_length_b 4.501
_cell_length_c 8.835
_cell_angle_alpha 90.00
_cell_angle_beta 114.16
_cell_angle_gamma 90.00
_symmetry_space_group_name_H-M 'C 1 2/m 1'
_symmetry_Int_Tables_number 12
loop_
_symmetry_equiv_pos_as_xyz
'x,y,z'
'-x,-y,-z'
'-x,y,-z'
'x,-y,z'
'x+1/2,y+1/2,z'
'-x+1/2,-y+1/2,-z'
'-x+1/2,y+1/2,-z'
'x+1/2,-y+1/2,z'
loop_
_atom_site_label
_atom_site_fract_x
_atom_site_fract_y
_atom_site_fract_z
K1 0.126 0.000 0.068
Sm1 0.000 0.000 0.500
Cd1 0.189 0.500 0.511
Te1 0.021 0.500 0.264
Te2 0.194 0.000 0.729
```

Values from the calculation:
Its density of states at the Fermi level is 9.5 states/eV per cell. The value obtained for the final energy is -0.2382 Ry/atom. The value obtained for the uncorrected formation energy is -0.873 eV/atom.

=====

Computed, not measured: an optimized crystal structure of KSmCdTe3 at the PBE-GGA level of DFT.

Geometry as CIF:
```
data_KSmCdTe3
_cell_length_a 9.595
_cell_length_b 4.561
_cell_length_c 10.821
_cell_angle_alpha 90.00
_cell_angle_beta 107.02
_cell_angle_gamma 90.00
_symmetry_space_group_name_H-M 'P 1 21/m 1'
_symmetry_Int_Tables_number 11
loop_
_symmetry_equiv_pos_as_xyz
'x,y,z'
'-x,-y,-z'
'-x,y+1/2,-z'
'x,-y+1/2,z'
loop_
_atom_site_label
_atom_site_fract_x
_atom_site_fract_y
_atom_site_fract_z
K1 0.212 0.250 0.238
Sm1 0.326 0.750 0.862
Cd1 0.084 0.250 0.608
Te1 0.097 0.250 0.871
Te2 0.232 0.750 0.539
Te3 0.458 0.750 0.161
```

Values from the calculation:
The value obtained for the final energy is -0.2759 Ry/atom. The value obtained for the uncorrected formation energy is -1.062 eV/atom.

=====

The evaluated spin magnetization for the records listed, in turn: 0.0; 0.0; 0.0; 0.0 μB/f.u..